# PBE VB2I, optimized geometry
data_VB2I
_chemical_formula_sum 'V4 B8 I4'
_space_group_name_H-M_alt 'F m -3 m'
_space_group_IT_number 225
_space_group_name_Hall '-F 4 2 3'
_cell_length_a 5.9837
_cell_length_b 5.9837
_cell_length_c 5.9837
_cell_angle_alpha 90.00
_cell_angle_beta 90.00
_cell_angle_gamma 90.00
loop_
_atom_site_label
_atom_site_type_symbol
_atom_site_fract_x
_atom_site_fract_y
_atom_site_fract_z
_atom_site_occupancy
V1 V 0.0000 0.0000 0.0000 1
B1 B 0.2500 0.2500 0.2500 1
I1 I 0.0000 0.0000 0.5000 1
# Uncorrected energy = -4.12 eV per atom
# Raw formation energy = 1.89 eV/atom
# Offset from the most stable computed form = 2.18 eV per formula unit
# V = 214.2 Å³/cell

---

# PBE GdLuHf2, optimized geometry
data_GdLuHf2
_chemical_formula_sum 'Gd3 Lu3 Hf6'
_space_group_name_H-M_alt 'R -3 m'
_space_group_IT_number 166
_space_group_name_Hall '-R 3 2"'
_cell_length_a 3.2935
_cell_length_b 3.2935
_cell_length_c 32.6687
_cell_angle_alpha 90.00
_cell_angle_beta 90.00
_cell_angle_gamma 120.00
loop_
_atom_site_label
_atom_site_type_symbol
_atom_site_fract_x
_atom_site_fract_y
_atom_site_fract_z
_atom_site_occupancy
Gd1 Gd 0.0000 0.0000 0.0000 1
Lu1 Lu 0.0000 0.0000 0.5000 1
Hf1 Hf 0.0000 0.0000 0.2491 1
# Uncorrected energy = -9.45 eV per atom
# Formation energy from the elements = 0.71 eV per formula unit
# Offset from the most stable computed form = 0.03 eV per formula unit
# V = 306.9 Å³/cell

---

# PBE TmZrSe, optimized geometry
data_TmZrSe
_chemical_formula_sum 'Tm16 Zr16 Se16'
_space_group_name_H-M_alt 'F -4 3 m'
_space_group_IT_number 216
_space_group_name_Hall 'F -4 2 3'
_cell_length_a 10.5089
_cell_length_b 10.5089
_cell_length_c 10.5089
_cell_angle_alpha 90.00
_cell_angle_beta 90.00
_cell_angle_gamma 90.00
loop_
_atom_site_label
_atom_site_type_symbol
_atom_site_fract_x
_atom_site_fract_y
_atom_site_fract_z
_atom_site_occupancy
Tm1 Tm 0.1152 0.1152 0.3848 1
Zr1 Zr 0.1409 0.1409 0.8591 1
Se1 Se 0.1211 0.1211 0.1211 1
# Uncorrected energy = -6.34 eV per atom
# Raw formation energy = -0.84 eV/atom
# Offset from the most stable computed form = 0.77 eV per formula unit
# V = 1160.6 Å³/cell